{"formula": "LaYTe", "functional": "PBEsol", "state": "optimized geometry", "cell": [[0.000, 3.617, 3.617], [3.617, 0.000, 3.617], [3.617, 3.617, 0.000]], "species": ["La", "Y", "Te"], "frac_coords": [[0.000, 0.000, 0.000], [0.750, 0.750, 0.750], [0.500, 0.500, 0.500]], "density_g_cm3": 6.23, "total_energy_ev_per_atom": -5.319, "vol_a3_per_cell": 94.68, "n_ef_per_ev_cell": 4.3, "crystal_system": "cubic"}